(1)
The following is a meta-GGA SCAN calculation of a PBEsol-optimized structure of In2HgBr, from the Alexandria database.

a b c (Å): 4.8088 4.8088 9.2023
angles (deg): 90.00 90.00 90.00
Closest atoms and distances in Å follow each position.
Space group I4/mmm (No. 139)
Asymmetric unit:
In 0.0000 0.5000 0.2500 x4  4 Hg 3.33, 4 Br 3.33, 4 In 3.40
Hg 0.0000 0.0000 0.0000 x2  8 In 3.33, 4 Br 3.40
Br 0.0000 0.0000 0.5000 x2  8 In 3.33, 4 Hg 3.40

Computed properties:
- ΔE_f (raw): -178 meV per atom



(2)
The following is a meta-GGA SCAN calculation of a PBEsol-optimized structure of TlAsBr2, from the Alexandria database.

a b c (Å): 3.5756 6.3232 9.4416
angles (deg): 90.00 90.00 90.00
Closest atoms and distances in Å follow each position.
Space group Cmmm (No. 65)
Asymmetric unit:
Tl 0.0000 0.0000 0.0000 x2  4 Br 3.26, 6 Tl 3.58-3.63
As 0.0000 0.0000 0.5000 x2  4 Br 2.68
Br 0.0000 0.5000 0.2885 x4  2 As 2.68

Computed properties:
- ΔE_f (raw): -76 meV per atom



(3)
The following is a meta-GGA SCAN calculation of a PBEsol-optimized structure of HfNi2AgAs, from the Alexandria database.

a b c (Å): 4.5192 4.5192 4.9996
angles (deg): 90.00 90.00 90.00
Closest atoms and distances in Å follow each position.
Space group P4/mmm (No. 123)
Asymmetric unit:
Hf 0.0000 0.0000 0.0000 x1  4 Ni 2.26, 2 As 2.50
Ni 0.0000 0.5000 0.0000 x2  2 Hf 2.26
Ag 0.5000 0.5000 0.5000 x1  4 As 3.20, 8 Ni 3.37
As 0.0000 0.0000 0.5000 x1  2 Hf 2.50

Computed properties:
- DFT formation energy: 1.009 eV/atom



(4)
The following is a meta-GGA SCAN calculation of a PBEsol-optimized structure of ScCuPOs2, from the Alexandria database.

a b c (Å): 4.5872 4.5872 3.9538
angles (deg): 90.00 90.00 90.00
Closest atoms and distances in Å follow each position.
Space group P4/mmm (No. 123)
Asymmetric unit:
Sc 0.0000 0.0000 0.0000 x1  8 Os 3.03, 4 P 3.24
Cu 0.5000 0.5000 0.5000 x1  2 P 1.98
P 0.5000 0.5000 0.0000 x1  2 Cu 1.98
Os 0.0000 0.5000 0.5000 x2  2 Cu 2.29

Computed properties:
- DFT formation energy: 1.043 eV/atom



(5)
The following is a meta-GGA SCAN calculation of a PBEsol-optimized structure of Dy5B2C5, from the Alexandria database.

a b c (Å): 8.0488 8.0488 10.6535
angles (deg): 90.00 90.00 90.00
Closest atoms and distances in Å follow each position.
Space group P4/ncc (No. 130, origin choice 2)
Asymmetric unit:
Dy 0.0377 0.6554 0.1012 x16  5 C 2.39-2.66, 1 B 2.60
Dy 0.2500 0.2500 0.1397 x4  6 C 2.54-2.78
B 0.0944 0.5944 0.7500 x8  2 C 1.46
C 0.0520 0.6496 0.8769 x16  1 B 1.46
C 0.2500 0.2500 0.4008 x4  5 Dy 2.44-2.54

Computed properties:
- DFT formation energy: -0.577 eV/atom



(6)
The following is a meta-GGA SCAN calculation of a PBEsol-optimized structure of MnTl2Ir, from the Alexandria database.

a b c (Å): 3.1042 5.2619 9.1078
angles (deg): 90.00 90.00 90.00
Closest atoms and distances in Å follow each position.
Space group Cmmm (No. 65)
Asymmetric unit:
Mn 0.0000 0.0000 0.0000 x2  4 Tl 2.76, 4 Mn 3.05
Tl 0.0000 0.5000 0.2506 x4  2 Ir 2.75, 2 Mn 2.76, 4 Tl 3.05
Ir 0.0000 0.0000 0.5000 x2  4 Tl 2.75, 4 Ir 3.05

Computed properties:
- DFT formation energy: 0.540 eV/atom



(7)
The following is a meta-GGA SCAN calculation of a PBEsol-optimized structure of TiRe3Ge, from the Alexandria database.

a b c (Å): 4.4658 4.4658 4.4658
angles (deg): 90.00 90.00 90.00
Closest atoms and distances in Å follow each position.
Space group Pm-3m (No. 221)
Asymmetric unit:
Ti 0.0000 0.0000 0.0000 x1  12 Re 3.16
Re 0.0000 0.5000 0.5000 x3  2 Ge 2.23
Ge 0.5000 0.5000 0.5000 x1  6 Re 2.23

Computed properties:
- DFT formation energy: 1.414 eV/atom



(8)
The following is a meta-GGA SCAN calculation of a PBEsol-optimized structure of NbPHCl2, from the Alexandria database.

a b c (Å): 4.6106 4.6106 3.2428
angles (deg): 90.00 90.00 90.00
Closest atoms and distances in Å follow each position.
Space group P4/mmm (No. 123)
Asymmetric unit:
Nb 0.0000 0.0000 0.0000 x1  8 Cl 2.82
P 0.5000 0.5000 0.0000 x1  2 H 1.62
H 0.5000 0.5000 0.5000 x1  2 P 1.62
Cl 0.0000 0.5000 0.5000 x2  2 H 2.31



(9)
The following is a meta-GGA SCAN calculation of a PBEsol-optimized structure of Mg3PPt, from the Alexandria database.

a b c (Å): 4.6953 4.6953 4.6953
angles (deg): 90.00 90.00 90.00
Closest atoms and distances in Å follow each position.
Space group Pm-3m (No. 221)
Asymmetric unit:
Mg 0.0000 0.0000 0.5000 x3  2 P 2.35
P 0.0000 0.0000 0.0000 x1  6 Mg 2.35
Pt 0.5000 0.5000 0.5000 x1  12 Mg 3.32

Computed properties:
- DFT formation energy: -0.132 eV/atom



(10)
The following is a meta-GGA SCAN calculation of a PBEsol-optimized structure of LiCo2I, from the Alexandria database.

a b c (Å): 5.9046 5.9046 5.9046
angles (deg): 90.00 90.00 90.00
Closest atoms and distances in Å follow each position.
Space group Fm-3m (No. 225)
Asymmetric unit:
Li 0.0000 0.0000 0.0000 x4  8 Co 2.56
Co 0.2500 0.2500 0.2500 x8  4 Li 2.56, 4 I 2.56
I 0.0000 0.0000 0.5000 x4  8 Co 2.56

Computed properties:
- ΔE_f (raw): 539 meV per atom



(11)
The following is a meta-GGA SCAN calculation of a PBEsol-optimized structure of Cr2CoNi, from the Alexandria database.

a b c (Å): 2.4182 2.4182 7.2529
angles (deg): 90.00 90.00 90.00
Closest atoms and distances in Å follow each position.
Space group P4mm (No. 99)
Asymmetric unit:
Cr 0.0000 0.0000 0.0000 x1  4 Co 2.40, 8 Cr 2.42-2.63
Cr 0.5000 0.5000 0.2750 x1  8 Cr 2.42-2.63, 4 Ni 2.47
Co 0.5000 0.5000 0.7680 x1  4 Cr 2.40, 4 Co 2.42, 4 Ni 2.48
Ni 0.0000 0.0000 0.5201 x1  4 Ni 2.42, 4 Cr 2.47, 4 Co 2.48

Computed properties:
- DFT formation energy: 0.158 eV/atom



(12)
The following is a meta-GGA SCAN calculation of a PBEsol-optimized structure of Li2PbAu2, from the Alexandria database.

a b c (Å): 3.9559 3.9559 12.3612
angles (deg): 90.00 90.00 90.00
Closest atoms and distances in Å follow each position.
Space group I4/mmm (No. 139)
Asymmetric unit:
Li 0.0000 0.5000 0.2500 x4  4 Au 2.61, 4 Li 2.80
Pb 0.0000 0.0000 0.0000 x2  8 Au 3.12
Au 0.0000 0.0000 0.3876 x4  4 Li 2.61, 1 Au 2.78

Computed properties:
- DFT formation energy: -0.345 eV/atom



| no. | raw total energy (eV/atom) | total magnetic moment (μB per atom) |
| --- | --- | --- |
| 1 | -38.78 | 0.000 |
| 2 | -32.94 | 0.000 |
| 3 | -28.31 | 0.000 |
| 4 | -35.68 | 0.000 |
| 5 | -25.94 | 0.000 |
| 6 | -57.98 | 0.941 |
| 7 | -48.27 | 0.000 |
| 8 | -12.04 | 0.001 |
| 9 | -19.23 | 0.000 |
| 10 | -17.90 | 0.499 |
| 11 | -17.40 | 0.320 |
| 12 | -44.12 | 0.000 |